Entry 1:
Compound: Ac4Nd2Y3
Source: Alexandria
Functional: PBE-GGA
Structure: optimized geometry

The calculated total energy comes out at -89.933 eV per cell. The value obtained for the formation energy is 0.0439 eV per atom.

The space group is C2/m (No. 12) and the conventional cell measures 11.773, 5.413 and 11.318 Å, with angles of 90.00, 106.92 and 90.00 degrees. The asymmetric unit holds Ac at (0.005, 0.000, 0.334), Ac at (0.166, 0.500, 0.888), Nd at (0.171, 0.500, 0.227), Y at (0.000, 0.000, 0.000) and Y at (0.165, 0.500, 0.550).

=====

Entry 2:
Compound: AcNd6Y3
Source: Alexandria
Functional: PBE-GGA
Structure: optimized geometry

The calculated total energy comes out at -103.198 eV per cell. The value obtained for the formation energy is 0.0509 eV per atom.

The space group is P2_1/m (No. 11) and the conventional cell measures 11.723, 3.634 and 17.611 Å, with angles of 90.00, 109.24 and 90.00 degrees. The asymmetric unit holds Ac at (0.159, 0.250, 0.313), Nd at (0.036, 0.750, 0.098), Nd at (0.149, 0.750, 0.799), Nd at (0.250, 0.750, 0.504), Nd at (0.349, 0.250, 0.186), Nd at (0.437, 0.250, 0.898), Nd at (0.470, 0.750, 0.397), Y at (0.067, 0.250, 0.602), Y at (0.249, 0.750, 0.998) and Y at (0.348, 0.750, 0.703).

=====

Entry 3:
Compound: Ac2Nd2Y5
Source: Alexandria
Functional: PBE-GGA
Structure: optimized geometry

The calculated total energy comes out at -96.192 eV per cell. The value obtained for the formation energy is 0.2196 eV per atom.

The space group is C2/m (No. 12) and the conventional cell measures 22.318, 3.642 and 8.417 Å, with angles of 90.00, 98.85 and 90.00 degrees. The asymmetric unit holds Ac at (0.182, 0.000, 0.135), Nd at (0.048, 0.500, 0.352), Y at (0.000, 0.000, 0.000), Y at (0.093, 0.000, 0.724) and Y at (0.190, 0.500, 0.531).

=====

Entry 4:
Compound: Ac4Nd6Y
Source: Alexandria
Functional: PBE-GGA
Structure: optimized geometry

The calculated total energy comes out at -97.640 eV per cell. The value obtained for the formation energy is 0.2441 eV per atom.

The space group is I-42m (No. 121) and the conventional cell measures 7.202, 7.202 and 16.808 Å, with angles of 90.00, 90.00 and 90.00 degrees. The asymmetric unit holds Ac at (0.194, 0.194, 0.320), Nd at (0.000, 0.500, 0.000), Nd at (0.169, 0.169, 0.102) and Y at (0.000, 0.000, 0.500).

=====

Entry 5:
Compound: AcNd12Y6
Source: Alexandria
Functional: PBE-GGA
Structure: optimized geometry

The calculated total energy comes out at -289.747 eV per cell. The value obtained for the formation energy is 0.1855 eV per atom.

The space group is R-3m (No. 166, hexagonal axes) and the conventional cell measures 13.6544, 13.6544 and 12.7380 Å, with angles of 90.00, 90.00 and 120.00 degrees. The asymmetric unit holds Ac at (0.0000, 0.0000, 0.0000), Nd at (0.0000, 0.2571, 0.5000), Nd at (0.0917, 0.1835, 0.2613) and Y at (0.0367, 0.5183, 0.6219).

=====

Entry 6:
Compound: Ac12Nd5Y2
Source: Alexandria
Functional: PBE-GGA
Structure: optimized geometry

The calculated total energy comes out at -167.326 eV per cell. The value obtained for the formation energy is 0.1266 eV per atom.

The space group is C2/m (No. 12) and the conventional cell measures 14.666, 11.995 and 9.277 Å, with angles of 90.00, 101.98 and 90.00 degrees. The asymmetric unit holds Ac at (0.086, 0.000, 0.208), Ac at (0.110, 0.234, 0.890), Ac at (0.132, 0.500, 0.629), Ac at (0.183, 0.302, 0.309), Nd at (0.000, 0.500, 0.000), Nd at (0.126, 0.000, 0.610), Nd at (0.233, 0.500, 0.030) and Y at (0.000, 0.235, 0.500).

=====

no.,magnetic moment (μB/f.u.)
1,0.0
2,0.0
3,0.0
4,0.0
5,0.0
6,0.0